No. 1
Entry from Alexandria: an optimized crystal structure of Li6Al2Hg (PBE).

Structure (POSCAR):
```
Li6Al2Hg
1.0
3.9386 2.2740 2.7383
-3.9386 2.2740 2.7383
0.0000 -4.5479 2.7383
Li Al Hg
6 2 1
direct
0.0000 0.3320 0.6680
0.0000 0.6680 0.3320
0.3320 0.0000 0.6680
0.3320 0.6680 0.0000
0.6680 0.0000 0.3320
0.6680 0.3320 0.0000
0.1646 0.1646 0.1646
0.8354 0.8354 0.8354
0.5000 0.5000 0.5000
```

Results
* SG: R-3m (166)
* V: 147.1 Å³/f.u.
* magnetic moment: 0.00 μB/f.u.
* formation energy from the elements: -200 meV/atom
* total energy: -21.073 eV/cell

No. 2
Entry from Alexandria: an optimized crystal structure of PmNp2NiN4 (PBE).

Structure (POSCAR):
```
PmNp2NiN4
1.0
1.7313 -5.5789 0.0000
1.7313 5.5789 0.0000
0.0000 0.0000 11.3621
Pm Np Ni N
2 4 2 8
direct
0.1033 0.8967 0.7500
0.8967 0.1033 0.2500
0.3704 0.6296 0.5580
0.3704 0.6296 0.9420
0.6296 0.3704 0.0580
0.6296 0.3704 0.4420
0.1627 0.8373 0.2500
0.8373 0.1627 0.7500
0.0000 0.0000 0.0000
0.0000 0.0000 0.5000
0.2641 0.7359 0.1098
0.2641 0.7359 0.3902
0.4423 0.5577 0.7500
0.5577 0.4423 0.2500
0.7359 0.2641 0.6098
0.7359 0.2641 0.8902
```

Results
* formation energy from raw total energies: -1038 meV/atom
* SG: Cmcm (63)
* V: 109.7 Å³/f.u.
* magnetic moment: 5.00 μB/f.u.
* total energy: -156.041 eV/cell

No. 3
Entry from Alexandria: an optimized crystal structure of AlSb2Pt (PBE).

Structure (POSCAR):
```
AlSb2Pt
1.0
3.3784 0.0000 0.0000
0.0000 3.3784 0.0000
0.0000 0.0000 7.8068
Al Sb Pt
1 2 1
direct
0.0000 0.0000 0.0000
0.0000 0.0000 0.3751
0.5000 0.5000 0.7703
0.5000 0.5000 0.1401
```

Results
* formation energy from raw total energies: -217 meV/atom
* SG: P4mm (99)
* V: 89.1 Å³/f.u.
* magnetic moment: 0.00 μB/f.u.
* total energy: -18.897 eV/cell

No. 4
Entry from Alexandria: an optimized crystal structure of La3Pr3Ni2 (PBE).

Structure (POSCAR):
```
La3Pr3Ni2
1.0
1.9141 -6.7491 0.0000
1.9141 6.7491 0.0000
0.0000 0.0000 18.9700
La Pr Ni
6 6 4
direct
0.0988 0.9012 0.7500
0.1685 0.8315 0.0606
0.1685 0.8315 0.4394
0.8315 0.1685 0.5606
0.8315 0.1685 0.9394
0.9012 0.0988 0.2500
0.1757 0.8243 0.2500
0.4371 0.5629 0.0935
0.4371 0.5629 0.4065
0.5629 0.4371 0.5935
0.5629 0.4371 0.9065
0.8243 0.1757 0.7500
0.2234 0.7766 0.6353
0.2234 0.7766 0.8647
0.7766 0.2234 0.1353
0.7766 0.2234 0.3647
```

Results
* SG: Cmcm (63)
* V: 245.1 Å³/f.u.
* magnetic moment: 0.00 μB/f.u.
* formation energy from the elements: -90 meV/atom
* total energy: -82.808 eV/cell

No. 5
Entry from Alexandria: an optimized crystal structure of SrCaTiN3 (PBE).

Structure (POSCAR):
```
SrCaTiN3
1.0
2.9140 -5.6810 0.0000
2.9140 5.6810 0.0000
-1.1853 0.0000 5.4643
Sr Ca Ti N
2 2 2 6
direct
0.2499 0.7501 0.7500
0.7501 0.2499 0.2500
0.0741 0.9259 0.2500
0.9259 0.0741 0.7500
0.4509 0.5491 0.2500
0.5491 0.4509 0.7500
0.2325 0.3299 0.5059
0.2817 0.7183 0.2500
0.3299 0.2325 0.0059
0.6701 0.7675 0.9941
0.7183 0.2817 0.7500
0.7675 0.6701 0.4941
```

Results
* formation energy from raw total energies: -984 meV/atom
* SG: C2/c (15)
* V: 90.5 Å³/f.u.
* magnetic moment: 0.00 μB/f.u.
* total energy: -84.912 eV/cell

No. 6
Entry from Alexandria: an optimized crystal structure of ThSc5Hg4 (PBE).

Structure (POSCAR):
```
ThSc5Hg4
1.0
3.5120 0.0000 0.0000
0.0000 3.5120 0.0000
0.0000 0.0000 18.5983
Th Sc Hg
1 5 4
direct
0.0000 0.0000 0.0000
0.5000 0.5000 0.1201
0.5000 0.5000 0.3110
0.5000 0.5000 0.5000
0.5000 0.5000 0.6890
0.5000 0.5000 0.8799
0.0000 0.0000 0.2142
0.0000 0.0000 0.4049
0.0000 0.0000 0.5951
0.0000 0.0000 0.7858
```

Results
* SG: P4/mmm (123)
* V: 229.4 Å³/f.u.
* magnetic moment: 0.00 μB/f.u.
* formation energy from the elements: -353 meV/atom
* total energy: -43.814 eV/cell

No. 7
Entry from Alexandria: an optimized crystal structure of LuVFe2 (PBE).

Structure (POSCAR):
```
LuVFe2
1.0
2.9760 0.0000 0.0000
0.0000 2.9760 0.0000
0.0000 0.0000 6.4218
Lu V Fe
1 1 2
direct
0.0000 0.0000 0.0000
0.0000 0.0000 0.5000
0.5000 0.5000 0.2931
0.5000 0.5000 0.7069
```

Results
* SG: P4/mmm (123)
* V: 56.9 Å³/f.u.
* magnetic moment: 0.36 μB/f.u.
* formation energy from the elements: -22 meV/atom
* total energy: -30.654 eV/cell

No. 8
Entry from Alexandria: an optimized crystal structure of CeGdTmMg (PBE).

Structure (POSCAR):
```
CeGdTmMg
1.0
0.0000 3.8837 3.8837
3.8837 0.0000 3.8837
3.8837 3.8837 0.0000
Ce Gd Tm Mg
1 1 1 1
direct
0.0000 0.0000 0.0000
0.5000 0.5000 0.5000
0.7500 0.7500 0.7500
0.2500 0.2500 0.2500
```

Results
* SG: F-43m (216)
* V: 117.2 Å³/f.u.
* magnetic moment: 8.61 μB/f.u.
* formation energy from the elements: 72 meV/atom
* total energy: -25.792 eV/cell

No. 9
Entry from Alexandria: an optimized crystal structure of Cr2FeCo (PBE).

Structure (POSCAR):
```
Cr2FeCo
1.0
2.4933 0.0000 0.0000
0.0000 2.4933 0.0000
0.0000 0.0000 7.0403
Cr Fe Co
2 1 1
direct
0.0000 0.0000 0.2496
0.0000 0.0000 0.7504
0.5000 0.5000 0.0000
0.5000 0.5000 0.5000
```

Results
* SG: P4/mmm (123)
* V: 43.8 Å³/f.u.
* magnetic moment: 0.37 μB/f.u.
* formation energy from the elements: 81 meV/atom
* total energy: -34.490 eV/cell

No. 10
Entry from Alexandria: an optimized crystal structure of Nd8Te4S3N (PBE).

Structure (POSCAR):
```
Nd8Te4S3N
1.0
4.1645 2.4044 7.1758
-4.1645 2.4044 7.1758
0.0000 -4.8087 7.1758
Nd Te S N
8 4 3 1
direct
0.2358 0.2358 0.2358
0.2572 0.7203 0.7203
0.2797 0.2797 0.7428
0.2797 0.7428 0.2797
0.7203 0.2572 0.7203
0.7203 0.7203 0.2572
0.7428 0.2797 0.2797
0.7642 0.7642 0.7642
0.0000 0.0000 0.0000
0.0000 0.5000 0.5000
0.5000 0.0000 0.5000
0.5000 0.5000 0.0000
0.0000 0.0000 0.5000
0.0000 0.5000 0.0000
0.5000 0.0000 0.0000
0.5000 0.5000 0.5000
```

Results
* formation energy from raw total energies: -1631 meV/atom
* SG: R-3m (166)
* V: 431.1 Å³/f.u.
* magnetic moment: 0.00 μB/f.u.
* total energy: -97.506 eV/cell

No. 11
Entry from Alexandria: an optimized crystal structure of YVAu2 (PBE).

Structure (POSCAR):
```
YVAu2
1.0
0.0000 3.4384 3.4384
3.4384 0.0000 3.4384
3.4384 3.4384 0.0000
Y V Au
1 1 2
direct
0.0000 0.0000 0.0000
0.5000 0.5000 0.5000
0.2500 0.2500 0.2500
0.7500 0.7500 0.7500
```

Results
* SG: Fm-3m (225)
* V: 81.3 Å³/f.u.
* magnetic moment: 3.21 μB/f.u.
* energy above the most stable polymorph in this dataset: 0.0 kJ/mol of formula units
* formation energy from the elements: -327 meV/atom
* total energy: -23.446 eV/cell

No. 12
Entry from Alexandria: an optimized crystal structure of Pm4Pr2SmTm (PBE).

Structure (POSCAR):
```
Pm4Pr2SmTm
1.0
6.9100 -6.7172 0.0000
6.9100 6.7172 0.0000
-3.4527 0.0000 6.0077
Pm Pr Sm Tm
8 4 2 2
direct
0.2407 0.7566 0.9982
0.2434 0.7593 0.5018
0.2436 0.2454 0.4746
0.2454 0.2436 0.9746
0.7546 0.7564 0.0254
0.7564 0.7546 0.5254
0.7566 0.2407 0.4982
0.7593 0.2434 0.0018
0.0000 0.5000 0.0000
0.5000 0.0000 0.5000
0.5000 0.5000 0.0000
0.5000 0.5000 0.5000
0.0000 0.5000 0.5000
0.5000 0.0000 0.0000
0.0000 0.0000 0.0000
0.0000 0.0000 0.5000
```

Results
* SG: C2/c (15)
* V: 278.9 Å³/f.u.
* magnetic moment: 0.00 μB/f.u.
* formation energy from the elements: 379 meV/atom
* total energy: -69.446 eV/cell